A | # PBE Ag4Sb3, relaxed
data_Ag4Sb3
_cell_length_a 6.1125
_cell_length_b 6.1125
_cell_length_c 5.2595
_cell_angle_alpha 90.00
_cell_angle_beta 90.00
_cell_angle_gamma 120.00
_space_group_name_H-M_alt 'P 6/m m m'
_space_group_IT_number 191
_space_group_name_Hall '-P 6 2'
loop_
_atom_site_label
_atom_site_type_symbol
_atom_site_fract_x
_atom_site_fract_y
_atom_site_fract_z
Ag1 Ag 0.0000 0.0000 0.2473
Ag2 Ag 0.3333 0.6667 0.0000
Sb1 Sb 0.0000 0.5000 0.5000
# - M_tot: 0.0 μB/cell
# - Crystal system: hexagonal

=====

B | # PBE Ag4Sb3, relaxed
data_Ag4Sb3
_cell_length_a 3.5688
_cell_length_b 3.5688
_cell_length_c 24.6196
_cell_angle_alpha 90.00
_cell_angle_beta 90.00
_cell_angle_gamma 90.00
_space_group_name_H-M_alt 'I 4/m m m'
_space_group_IT_number 139
_space_group_name_Hall '-I 4 2'
loop_
_atom_site_label
_atom_site_type_symbol
_atom_site_fract_x
_atom_site_fract_y
_atom_site_fract_z
Ag1 Ag 0.0000 0.0000 0.0681
Ag2 Ag 0.0000 0.0000 0.3703
Sb1 Sb 0.0000 0.0000 0.1938
Sb2 Sb 0.0000 0.0000 0.5000
# - M_tot: 0.0 μB/cell
# - Crystal system: tetragonal

=====

Verdict on stability: A comes out at the bottom.

=====

A | # PBE ScAg3Sb, relaxed
data_ScAg3Sb
_cell_length_a 5.1561
_cell_length_b 5.1561
_cell_length_c 5.1561
_cell_angle_alpha 90.00
_cell_angle_beta 90.00
_cell_angle_gamma 90.00
_space_group_name_H-M_alt 'P m -3 m'
_space_group_IT_number 221
_space_group_name_Hall '-P 4 2 3'
loop_
_atom_site_label
_atom_site_type_symbol
_atom_site_fract_x
_atom_site_fract_y
_atom_site_fract_z
Sc1 Sc 0.0000 0.0000 0.0000
Ag1 Ag 0.0000 0.5000 0.5000
Sb1 Sb 0.5000 0.5000 0.5000
# - M_tot: 1.3 μB/cell
# - Crystal system: cubic

=====

B | # PBE ScAg3Sb, relaxed
data_ScAg3Sb
_cell_length_a 5.1246
_cell_length_b 5.1246
_cell_length_c 5.1246
_cell_angle_alpha 90.00
_cell_angle_beta 90.00
_cell_angle_gamma 90.00
_space_group_name_H-M_alt 'P m -3 m'
_space_group_IT_number 221
_space_group_name_Hall '-P 4 2 3'
loop_
_atom_site_label
_atom_site_type_symbol
_atom_site_fract_x
_atom_site_fract_y
_atom_site_fract_z
Sc1 Sc 0.0000 0.0000 0.0000
Ag1 Ag 0.0000 0.0000 0.5000
Sb1 Sb 0.5000 0.5000 0.5000
# - M_tot: 0.0 μB/cell
# - Crystal system: cubic

=====

Verdict on stability: B comes out at the bottom.

=====

A | # PBE Sc3AgSb, relaxed
data_Sc3AgSb
_cell_length_a 5.1242
_cell_length_b 5.1242
_cell_length_c 5.1242
_cell_angle_alpha 90.00
_cell_angle_beta 90.00
_cell_angle_gamma 90.00
_space_group_name_H-M_alt 'P m -3 m'
_space_group_IT_number 221
_space_group_name_Hall '-P 4 2 3'
loop_
_atom_site_label
_atom_site_type_symbol
_atom_site_fract_x
_atom_site_fract_y
_atom_site_fract_z
Sc1 Sc 0.0000 0.0000 0.5000
Ag1 Ag 0.0000 0.0000 0.0000
Sb1 Sb 0.5000 0.5000 0.5000
# - M_tot: 0.0 μB/cell
# - Crystal system: cubic

=====

B | # PBE Sc3AgSb, relaxed
data_Sc3AgSb
_cell_length_a 5.3241
_cell_length_b 5.3241
_cell_length_c 5.3241
_cell_angle_alpha 90.00
_cell_angle_beta 90.00
_cell_angle_gamma 90.00
_space_group_name_H-M_alt 'P m -3 m'
_space_group_IT_number 221
_space_group_name_Hall '-P 4 2 3'
loop_
_atom_site_label
_atom_site_type_symbol
_atom_site_fract_x
_atom_site_fract_y
_atom_site_fract_z
Sc1 Sc 0.0000 0.0000 0.5000
Ag1 Ag 0.5000 0.5000 0.5000
Sb1 Sb 0.0000 0.0000 0.0000
# - M_tot: 1.6 μB/cell
# - Crystal system: cubic

=====

Verdict on stability: B comes out at the bottom.